w.
# Ca2Ti3O8

An optimized crystal structure of Ca2Ti3O8 (PBE, the Alexandria database).

Fermi-level density of states	0.000	states/eV/atom
calculated volume	12.63	A^3/atom
total magnetization	0.0	Bohr magnetons per cell
space group	C2/m, No. 12

a b c (Å): 6.4010 6.4010 5.0895
angles (deg): 72.05 72.05 57.20
Atoms (fractional coordinates):
1 Ca 0.7255 0.7255 0.3383
2 Ca 0.2745 0.2745 0.6617
3 Ti 0.0000 0.0000 0.5000
4 Ti 0.7336 0.2664 0.0000
5 Ti 0.2664 0.7336 0.0000
6 O 0.3969 0.3969 0.9505
7 O 0.6031 0.6031 0.0495
8 O 0.9003 0.9003 0.9054
9 O 0.0997 0.0997 0.0946
10 O 0.3242 0.8840 0.6065
11 O 0.8840 0.3242 0.6065
12 O 0.1160 0.6758 0.3935
13 O 0.6758 0.1160 0.3935


x.
# Ca2Ti3O8

An optimized crystal structure of Ca2Ti3O8 (PBE, the Alexandria database).

Fermi-level density of states	0.000	states/eV/atom
calculated volume	13.08	A^3/atom
total magnetization	0.0	Bohr magnetons per cell
space group	P6_3mc, No. 186

a b c (Å): 6.0914 6.0914 10.5810
angles (deg): 90.00 90.00 120.00
Atoms (fractional coordinates):
1 Ca 0.6667 0.3333 0.0242
2 Ca 0.3333 0.6667 0.5242
3 Ca 0.6667 0.3333 0.4294
4 Ca 0.3333 0.6667 0.9294
5 Ti 0.6741 0.8370 0.2454
6 Ti 0.8370 0.1630 0.7454
7 Ti 0.1630 0.3259 0.2454
8 Ti 0.8370 0.6741 0.7454
9 Ti 0.3259 0.1630 0.7454
10 Ti 0.1630 0.8370 0.2454
11 O 0.8442 0.1558 0.1551
12 O 0.6884 0.8442 0.6551
13 O 0.1558 0.3116 0.6551
14 O 0.8442 0.6884 0.1551
15 O 0.3116 0.1558 0.1551
16 O 0.1558 0.8442 0.6551
17 O 0.5228 0.4772 0.8499
18 O 0.0455 0.5228 0.3499
19 O 0.4772 0.9545 0.3499
20 O 0.5228 0.0455 0.8499
21 O 0.0000 0.0000 0.3441
22 O 0.0000 0.0000 0.8441
23 O 0.3333 0.6667 0.1444
24 O 0.9545 0.4772 0.8499
25 O 0.4772 0.5228 0.3499
26 O 0.6667 0.3333 0.6444


w has the most favorable energy; the next structure is 0.094 eV/atom above.


w.
# Ca2TlO

An optimized crystal structure of Ca2TlO (PBE, the Alexandria database).

Fermi-level density of states	0.338	states/eV/atom
calculated volume	19.99	A^3/atom
total magnetization	0.0	Bohr magnetons per cell
space group	P4/mmm, No. 123

a b c (Å): 3.1776 3.1776 7.9187
angles (deg): 90.00 90.00 90.00
Atoms (fractional coordinates):
1 Tl 0.5000 0.5000 0.5000
2 Ca 0.0000 0.0000 0.8170
3 Ca 0.0000 0.0000 0.1830
4 O 0.5000 0.5000 0.0000


x.
# Ca2TlO

An optimized crystal structure of Ca2TlO (PBE, the Alexandria database).

Fermi-level density of states	1.067	states/eV/atom
calculated volume	24.01	A^3/atom
total magnetization	1.4	Bohr magnetons per cell
space group	Fm-3m, No. 225

a b c (Å): 5.1403 5.1403 5.1403
angles (deg): 60.00 60.00 60.00
Atoms (fractional coordinates):
1 Tl 0.5000 0.5000 0.5000
2 Ca 0.2500 0.2500 0.2500
3 Ca 0.7500 0.7500 0.7500
4 O 0.0000 0.0000 0.0000


y.
# Ca2TlO

An optimized crystal structure of Ca2TlO (PBE, the Alexandria database).

Fermi-level density of states	0.716	states/eV/atom
calculated volume	21.98	A^3/atom
total magnetization	0.0	Bohr magnetons per cell
space group	R-3m, No. 166

a b c (Å): 3.5769 3.5769 8.1980
angles (deg): 77.40 77.40 60.00
Atoms (fractional coordinates):
1 Tl 0.5000 0.5000 0.5000
2 Ca 0.2761 0.2761 0.1718
3 Ca 0.7239 0.7239 0.8282
4 O 0.0000 0.0000 0.0000


y has the most favorable energy; the next structure is 0.301 eV/atom above.


w.
# CaTl2O

An optimized crystal structure of CaTl2O (PBE, the Alexandria database).

Fermi-level density of states	1.379	states/eV/atom
calculated volume	23.67	A^3/atom
total magnetization	0.0	Bohr magnetons per cell
space group	Fm-3m, No. 225

a b c (Å): 5.1159 5.1159 5.1159
angles (deg): 60.00 60.00 60.00
Atoms (fractional coordinates):
1 Tl 0.2500 0.2500 0.2500
2 Tl 0.7500 0.7500 0.7500
3 Ca 0.5000 0.5000 0.5000
4 O 0.0000 0.0000 0.0000


x.
# CaTl2O

An optimized crystal structure of CaTl2O (PBE, the Alexandria database).

Fermi-level density of states	0.599	states/eV/atom
calculated volume	27.62	A^3/atom
total magnetization	0.0	Bohr magnetons per cell
space group	I-42d, No. 122

a b c (Å): 10.0456 10.0456 7.4332
angles (deg): 47.49 47.49 90.00
Atoms (fractional coordinates):
1 Tl 0.5041 0.1250 0.2500
2 Tl 0.2459 0.6250 0.2500
3 Tl 0.3750 0.4959 0.7500
4 Tl 0.8750 0.7541 0.7500
5 Ca 0.0000 0.0000 0.0000
6 Ca 0.7500 0.2500 0.5000
7 O 0.5000 0.5000 0.0000
8 O 0.2500 0.7500 0.5000


x has the most favorable energy; the next structure is 0.787 eV/atom above.


w.
# CaTl2O4

An optimized crystal structure of CaTl2O4 (PBE, the Alexandria database).

Fermi-level density of states	0.118	states/eV/atom
calculated volume	14.42	A^3/atom
total magnetization	0.0	Bohr magnetons per cell
space group	Cmcm, No. 63

a b c (Å): 5.8552 5.8552 10.6511
angles (deg): 90.00 90.00 146.44
Atoms (fractional coordinates):
1 Ca 0.8918 0.1082 0.7500
2 Ca 0.1082 0.8918 0.2500
3 O 0.7197 0.2803 0.3826
4 O 0.2803 0.7197 0.8826
5 O 0.7197 0.2803 0.1174
6 O 0.2803 0.7197 0.6174
7 O 0.0000 0.0000 0.0000
8 O 0.0000 0.0000 0.5000
9 O 0.5369 0.4631 0.7500
10 O 0.4631 0.5369 0.2500
11 Tl 0.6346 0.3654 0.9280
12 Tl 0.3654 0.6346 0.4280
13 Tl 0.6346 0.3654 0.5720
14 Tl 0.3654 0.6346 0.0720


x.
# CaTl2O4

An optimized crystal structure of CaTl2O4 (PBE, the Alexandria database).

Fermi-level density of states	0.086	states/eV/atom
calculated volume	14.41	A^3/atom
total magnetization	0.0	Bohr magnetons per cell
space group	Pnma, No. 62

a b c (Å): 3.3774 10.2576 11.6466
angles (deg): 90.00 90.00 90.00
Atoms (fractional coordinates):
1 Ca 0.2500 0.7461 0.3501
2 Ca 0.7500 0.2539 0.6499
3 Ca 0.2500 0.2461 0.1499
4 Ca 0.7500 0.7539 0.8501
5 Tl 0.7500 0.0729 0.8851
6 Tl 0.2500 0.9271 0.1149
7 Tl 0.7500 0.5729 0.6149
8 Tl 0.2500 0.4271 0.3851
9 Tl 0.2500 0.4137 0.8944
10 Tl 0.7500 0.5863 0.1056
11 Tl 0.2500 0.9137 0.6056
12 Tl 0.7500 0.0863 0.3944
13 O 0.7500 0.0963 0.0713
14 O 0.2500 0.9037 0.9287
15 O 0.7500 0.5963 0.4287
16 O 0.2500 0.4037 0.5713
17 O 0.7500 0.9510 0.7269
18 O 0.2500 0.0490 0.2731
19 O 0.7500 0.4510 0.7731
20 O 0.2500 0.5490 0.2269
21 O 0.7500 0.3738 0.0339
22 O 0.2500 0.6262 0.9661
23 O 0.7500 0.8738 0.4661
24 O 0.2500 0.1262 0.5339
25 O 0.2500 0.2050 0.8087
26 O 0.7500 0.7950 0.1913
27 O 0.2500 0.7050 0.6913
28 O 0.7500 0.2950 0.3087


w has the most favorable energy; the next structure is 0.007 eV/atom above.


w.
# Ca3TlO4

An optimized crystal structure of Ca3TlO4 (PBE, the Alexandria database).

Fermi-level density of states	0.263	states/eV/atom
calculated volume	17.59	A^3/atom
total magnetization	0.0	Bohr magnetons per cell
space group	Pmmn, No. 59

a b c (Å): 4.8215 7.1249 8.1917
angles (deg): 90.00 90.00 90.00
Atoms (fractional coordinates):
1 Ca 0.5644 0.8311 0.0000
2 Ca 0.0644 0.6652 0.2504
3 Ca 0.5644 0.3348 0.2496
4 Ca 0.0644 0.1689 0.5000
5 Ca 0.5644 0.3348 0.7504
6 Ca 0.0644 0.6652 0.7496
7 Tl 0.0644 0.1659 0.0000
8 Tl 0.5644 0.8341 0.5000
9 O 0.0644 0.8147 0.0000
10 O 0.5644 0.1650 0.0000
11 O 0.0644 0.3428 0.2644
12 O 0.5644 0.6572 0.2356
13 O 0.0644 0.8350 0.5000
14 O 0.5644 0.1853 0.5000
15 O 0.5644 0.6572 0.7644
16 O 0.0644 0.3428 0.7356


x.
# Ca3TlO4

An optimized crystal structure of Ca3TlO4 (PBE, the Alexandria database).

Fermi-level density of states	0.226	states/eV/atom
calculated volume	14.93	A^3/atom
total magnetization	0.0	Bohr magnetons per cell
space group	I4/mmm, No. 139

a b c (Å): 4.8827 4.8827 6.0834
angles (deg): 113.66 113.66 90.00
Atoms (fractional coordinates):
1 Ca 0.5000 0.5000 0.0000
2 Ca 0.7500 0.2500 0.5000
3 Ca 0.2500 0.7500 0.5000
4 Tl 0.0000 0.0000 0.0000
5 O 0.7333 0.7333 0.4666
6 O 0.2667 0.2667 0.5334
7 O 0.5000 0.0000 0.0000
8 O 0.0000 0.5000 0.0000


x has the most favorable energy; the next structure is 0.044 eV/atom above.


w.
# CaTmO2

An optimized crystal structure of CaTmO2 (PBE, the Alexandria database).

Fermi-level density of states	0.271	states/eV/atom
calculated volume	14.46	A^3/atom
total magnetization	0.7	Bohr magnetons per cell
space group	R3m, No. 160

a b c (Å): 3.3659 3.3659 6.2085
angles (deg): 74.27 74.27 60.00
Atoms (fractional coordinates):
1 Ca 0.4948 0.4948 0.5156
2 Tm 0.6701 0.6701 0.9897
3 O 0.0709 0.0709 0.7873
4 O 0.2642 0.2642 0.2074


x.
# CaTmO2

An optimized crystal structure of CaTmO2 (PBE, the Alexandria database).

Fermi-level density of states	0.237	states/eV/atom
calculated volume	13.59	A^3/atom
total magnetization	0.0	Bohr magnetons per cell
space group	R-3m, No. 166

a b c (Å): 3.3550 3.3550 5.9036
angles (deg): 73.49 73.49 60.00
Atoms (fractional coordinates):
1 Ca 0.0000 0.0000 0.0000
2 Tm 0.5000 0.5000 0.5000
3 O 0.7544 0.7544 0.7367
4 O 0.2456 0.2456 0.2633


x has the most favorable energy; the next structure is 0.126 eV/atom above.